i | An optimized crystal structure of NiF, computed with PBE with a Hubbard U.

The structure in POSCAR format:
```
NiF
1.0
2.9306 -0.0549 0.0252
-1.4167 2.5665 -0.0387
-0.1338 -1.5899 6.8594
Ni F
2 2
direct
0.5179 0.3953 0.9260
0.7436 0.8555 0.6121
0.0226 0.4177 0.4532
0.2389 0.8330 0.0849
```

Computed properties:
SG: C2/m, No. 12



ii | An optimized crystal structure of NiF, computed with PBE with a Hubbard U.

The structure in POSCAR format:
```
NiF
1.0
-1.1078 -1.9683 1.5937
2.5788 -0.2831 -0.9545
1.3110 1.7175 3.0324
Ni F
1 1
direct
0.0000 0.0000 0.0000
0.0000 0.0000 0.5000
```

Computed properties:
SG: P6/mmm, No. 191



List of relative energies, unit eV/atom: i 0.000; ii 0.350



i | An optimized crystal structure of NiF, computed with PBE with a Hubbard U.

The structure in POSCAR format:
```
NiF
1.0
10.0778 0.0000 0.0000
0.0000 2.9230 0.0000
0.0000 0.0000 4.9068
Ni F
6 6
direct
0.8660 0.0000 0.2336
0.1340 0.0000 0.2336
0.3660 0.5000 0.7336
0.6340 0.5000 0.7336
0.0000 0.5000 0.8841
0.5000 0.0000 0.3841
0.7603 0.0000 0.5973
0.2397 0.0000 0.5973
0.2603 0.5000 0.0973
0.7397 0.5000 0.0973
0.0000 0.5000 0.4560
0.5000 0.0000 0.9560
```

Computed properties:
SG: Imm2, No. 44



ii | An optimized crystal structure of NiF, computed with PBE with a Hubbard U.

The structure in POSCAR format:
```
NiF
1.0
5.9263 0.0000 0.0000
0.0000 5.9263 0.0000
0.0000 0.0000 5.9263
Ni F
6 6
direct
0.2500 0.5000 0.0000
0.7500 0.5000 0.0000
0.5000 0.0000 0.2500
0.5000 0.0000 0.7500
0.0000 0.2500 0.5000
0.0000 0.7500 0.5000
0.2500 0.0000 0.5000
0.7500 0.0000 0.5000
0.0000 0.5000 0.2500
0.0000 0.5000 0.7500
0.5000 0.2500 0.0000
0.5000 0.7500 0.0000
```

Computed properties:
SG: Pm-3n, No. 223



List of relative energies, unit eV/atom: i 0.000; ii 0.564



i | An optimized crystal structure of NiF, computed with PBE with a Hubbard U.

The structure in POSCAR format:
```
NiF
1.0
-3.9181 -0.0554 2.7321
2.2187 -2.8524 3.1240
1.5951 3.8314 2.3653
Ni F
4 4
direct
0.0000 0.0000 0.0000
0.0000 0.5000 0.5000
0.5000 0.0000 0.5000
0.5000 0.5000 0.0000
0.2500 0.2500 0.2500
0.2500 0.7500 0.7500
0.7500 0.2500 0.7500
0.7500 0.7500 0.2500
```

Computed properties:
SG: F-43m, No. 216



ii | An optimized crystal structure of NiF, computed with PBE with a Hubbard U.

The structure in POSCAR format:
```
NiF
1.0
-5.5287 -1.1596 6.3330
-1.5793 -7.8483 -2.8157
1.9584 -0.9453 1.5366
Ni F
8 8
direct
0.6440 0.6440 0.5000
0.6440 0.3560 0.5000
0.3560 0.6440 0.5000
0.3560 0.3560 0.5000
0.3230 0.0000 0.0000
0.6770 0.0000 0.0000
0.0000 0.6770 0.0000
0.0000 0.3230 0.0000
0.8484 0.5000 0.5000
0.1516 0.5000 0.5000
0.5000 0.1516 0.5000
0.5000 0.8484 0.5000
0.8051 0.8051 0.0000
0.8051 0.1949 0.0000
0.1949 0.8051 0.0000
0.1949 0.1949 0.0000
```

Computed properties:
SG: P4/mmm, No. 123



List of relative energies, unit eV/atom: i 0.744; ii 0.000



i | An optimized crystal structure of NiOF, computed with PBE with a Hubbard U.

The structure in POSCAR format:
```
NiOF
1.0
-1.3222 1.4760 -2.1472
-0.0418 -2.4195 -1.6374
-3.4705 -0.9461 1.4866
Ni O F
1 1 1
direct
0.0000 0.0000 0.0000
0.5000 0.5000 0.0000
0.0000 0.0000 0.5000
```

Computed properties:
SG: P4/mmm, No. 123



ii | An optimized crystal structure of NiOF, computed with PBE with a Hubbard U.

The structure in POSCAR format:
```
NiOF
1.0
-1.3405 -1.2314 2.4625
4.0531 -1.7170 1.3481
0.8646 3.9685 2.4552
Ni O F
2 2 2
direct
0.6633 0.5452 0.4765
0.1633 0.0452 0.0122
0.1633 0.3435 0.3036
0.6633 0.8435 0.1851
0.1633 0.7614 0.6832
0.6633 0.2614 0.8055
```

Computed properties:
SG: Pmn2_1, No. 31



iii | An optimized crystal structure of NiOF, computed with PBE with a Hubbard U.

The structure in POSCAR format:
```
NiOF
1.0
-2.3976 0.2263 -2.7807
2.5442 -3.9828 -2.5177
-3.8832 -4.3722 2.9923
F Ni O
4 4 4
direct
0.7500 0.4460 0.3600
0.7500 0.0540 0.8600
0.2500 0.9460 0.1400
0.2500 0.5540 0.6400
0.2500 0.2197 0.7975
0.2500 0.2803 0.2975
0.7500 0.7197 0.7025
0.7500 0.7803 0.2025
0.2500 0.4548 0.0260
0.2500 0.0452 0.5260
0.7500 0.9548 0.4740
0.7500 0.5452 0.9740
```

Computed properties:
SG: Pnma, No. 62



List of relative energies, unit eV/atom: i 0.157; ii 0.000; iii 0.152



i | An optimized crystal structure of NiOsOF2, computed with PBE with a Hubbard U.

The structure in POSCAR format:
```
NiOsOF2
1.0
-3.2147 -2.8275 -0.8204
1.5552 -0.5995 -4.0280
2.1208 -2.7683 1.2309
Ni Os O F
1 1 1 2
direct
0.5000 0.5000 0.5000
0.0000 0.0000 0.0000
0.0000 0.0000 0.5000
0.0000 0.5000 0.0000
0.5000 0.0000 0.0000
```

Computed properties:
SG: P4/mmm, No. 123



ii | An optimized crystal structure of NiOsOF2, computed with PBE with a Hubbard U.

The structure in POSCAR format:
```
NiOsOF2
1.0
-0.0466 -3.0410 -2.3106
-0.6899 -2.2661 2.9962
-4.1517 0.5017 -0.5765
Ni Os O F
1 1 1 2
direct
0.0000 0.0000 0.0000
0.5000 0.5000 0.5000
0.0000 0.0000 0.5000
0.0000 0.5000 0.0000
0.5000 0.0000 0.0000
```

Computed properties:
SG: P4/mmm, No. 123



List of relative energies, unit eV/atom: i 0.000; ii 0.097



i | An optimized crystal structure of NiP2OF, computed with PBE with a Hubbard U.

The structure in POSCAR format:
```
NiP2OF
1.0
-3.5180 1.9207 0.2410
-1.4846 -2.3563 -2.8926
-1.2739 -2.6905 2.8455
Ni F O P
1 1 1 2
direct
0.5000 0.5000 0.5000
0.0000 0.0000 0.0000
0.0000 0.0000 0.5000
0.0000 0.5000 0.0000
0.5000 0.0000 0.0000
```

Computed properties:
SG: P4/mmm, No. 123



ii | An optimized crystal structure of NiP2OF, computed with PBE with a Hubbard U.

The structure in POSCAR format:
```
NiP2OF
1.0
4.3916 0.0000 0.0000
0.0000 4.3916 0.0000
0.0000 0.0000 3.6473
Ni F O P
1 1 1 2
direct
0.0000 0.0000 0.0000
0.5000 0.5000 0.5000
0.0000 0.0000 0.5000
0.0000 0.5000 0.0000
0.5000 0.0000 0.0000
```

Computed properties:
SG: P4/mmm, No. 123



List of relative energies, unit eV/atom: i 0.702; ii 0.000



i | An optimized crystal structure of NiPtOF2, computed with PBE with a Hubbard U.

The structure in POSCAR format:
```
NiPtOF2
1.0
-3.3019 -2.6468 1.1488
2.7993 -3.3618 0.3004
0.6064 0.8319 3.6595
Ni O Pt F
1 1 1 2
direct
0.5000 0.5000 0.5000
0.0000 0.0000 0.5000
0.0000 0.0000 0.0000
0.0000 0.5000 0.0000
0.5000 0.0000 0.0000
```

Computed properties:
SG: P4/mmm, No. 123



ii | An optimized crystal structure of NiPtOF2, computed with PBE with a Hubbard U.

The structure in POSCAR format:
```
NiPtOF2
1.0
3.7644 0.0000 0.0000
0.0000 3.7644 0.0000
0.0000 0.0000 4.3140
Ni O Pt F
1 1 1 2
direct
0.0000 0.0000 0.0000
0.0000 0.0000 0.5000
0.5000 0.5000 0.5000
0.0000 0.5000 0.0000
0.5000 0.0000 0.0000
```

Computed properties:
SG: P4/mmm, No. 123



List of relative energies, unit eV/atom: i 0.154; ii 0.000



i | An optimized crystal structure of NiRhOF2, computed with PBE with a Hubbard U.

The structure in POSCAR format:
```
NiRhOF2
1.0
-0.6156 -3.4956 -1.5644
3.2188 -1.3308 1.7070
-2.1404 -1.0596 3.2099
Ni Rh O F
1 1 1 2
direct
0.0000 0.0000 0.0000
0.5000 0.5000 0.5000
0.0000 0.0000 0.5000
0.0000 0.5000 0.0000
0.5000 0.0000 0.0000
```

Computed properties:
SG: P4/mmm, No. 123



ii | An optimized crystal structure of NiRhOF2, computed with PBE with a Hubbard U.

The structure in POSCAR format:
```
NiRhOF2
1.0
-1.7870 -3.7413 -1.1707
3.4712 -2.1080 1.4383
-1.5757 -0.2998 3.3633
Ni Rh O F
1 1 1 2
direct
0.5000 0.5000 0.5000
0.0000 0.0000 0.0000
0.0000 0.0000 0.5000
0.0000 0.5000 0.0000
0.5000 0.0000 0.0000
```

Computed properties:
SG: P4/mmm, No. 123



List of relative energies, unit eV/atom: i 0.000; ii 0.057